Here is a relaxed SrPrCdHg crystal from the Alexandria database. Energies are from GGA-PBE.

The space group is P4mm (No. 99) and the conventional cell measures 3.952, 3.952 and 7.902 Å, with angles of 90.00, 90.00 and 90.00 degrees. The inequivalent atoms are Sr at (0.000, 0.000, 0.000), Pr at (0.000, 0.000, 0.493), Cd at (0.500, 0.500, 0.728) and Hg at (0.500, 0.500, 0.266).

The crystal system is tetragonal. The size of the total moment comes out at 0.159 Bohr magnetons per cell. The calculation puts the density of states at the Fermi level at 3.95 states/eV/f.u. The value obtained for the distance to the lowest polymorph of the same formula is 0.0 meV per atom. For the energy of formation, the calculation gives -0.4109 eV/atom.